Sr3Be2GaO6 | Alexandria via LeMat-Bulk | GGA-PBE | relaxed; formation energy without anion corrections = -2374 meV/atom
1.0
5.427 0.000 0.000
-2.714 4.700 0.000
0.000 0.000 6.639
Sr Be Ga O
3 2 1 6
Direct
0.000 0.000 0.000 Sr
0.333 0.667 0.673 Sr
0.667 0.333 0.327 Sr
0.333 0.667 0.270 Be
0.667 0.333 0.730 Be
0.000 0.000 0.500 Ga
0.170 0.340 0.310 O
0.170 0.830 0.310 O
0.340 0.170 0.690 O
0.660 0.830 0.310 O
0.830 0.170 0.690 O
0.830 0.660 0.690 O